1.
A geometry-optimized Tb3Sm2Dy structure. Source: the Alexandria database, functional PBE. Values from VASP.

Geometry as Quantum ESPRESSO input:
```
&SYSTEM
  ibrav = 0, nat = 12, ntyp = 3
/
ATOMIC_SPECIES
Tb 158.93 Tb.upf
Sm 150.36 Sm.upf
Dy 162.50 Dy.upf
CELL_PARAMETERS angstrom
0.723 5.761 1.557
-3.868 7.453 8.996
5.698 6.273 8.924
ATOMIC_POSITIONS crystal
Tb 0.446 0.684 0.849
Tb 0.054 0.151 0.316
Tb 0.946 0.849 0.684
Tb 0.554 0.316 0.151
Tb 0.750 0.609 0.391
Tb 0.250 0.391 0.609
Sm 0.653 0.586 0.146
Sm 0.347 0.414 0.854
Sm 0.847 0.854 0.414
Sm 0.153 0.146 0.586
Dy 0.500 0.000 0.000
Dy 0.000 0.000 0.000
```

Summary:
For the density of states at the Fermi level, the calculation gives 1.6688 states/eV per atom. For the relative energy among the computed polymorphs, the calculation gives 9.2 kJ/mol of atoms. The value obtained for the formation energy is 1.0 eV per formula unit.

***

2.
A geometry-optimized Tb4Sm3Dy2 structure. Source: the Alexandria database, functional PBE. Values from VASP.

Geometry as Quantum ESPRESSO input:
```
&SYSTEM
  ibrav = 0, nat = 18, ntyp = 3
/
ATOMIC_SPECIES
Tb 158.93 Tb.upf
Sm 150.36 Sm.upf
Dy 162.50 Dy.upf
CELL_PARAMETERS angstrom
5.781 1.627 1.165
2.237 11.057 0.774
2.237 4.295 10.218
ATOMIC_POSITIONS crystal
Tb 0.078 0.147 0.426
Tb 0.920 0.186 0.908
Tb 0.422 0.574 0.853
Tb 0.080 0.814 0.092
Tb 0.578 0.426 0.147
Tb 0.420 0.908 0.186
Tb 0.580 0.092 0.814
Tb 0.922 0.853 0.574
Sm 0.750 0.401 0.599
Sm 0.747 0.068 0.265
Sm 0.753 0.735 0.932
Sm 0.247 0.265 0.068
Sm 0.253 0.932 0.735
Sm 0.250 0.599 0.401
Dy 0.921 0.519 0.242
Dy 0.421 0.242 0.519
Dy 0.579 0.758 0.481
Dy 0.079 0.481 0.758
```

Summary:
For the density of states at the Fermi level, the calculation gives 1.4125 states/eV per atom. For the relative energy among the computed polymorphs, the calculation gives 7.9 kJ/mol of atoms. The value obtained for the formation energy is 0.9 eV per formula unit.

***

3.
A geometry-optimized Tb5Sm2Dy4 structure. Source: the Alexandria database, functional PBE. Values from VASP.

Geometry as Quantum ESPRESSO input:
```
&SYSTEM
  ibrav = 0, nat = 11, ntyp = 3
/
ATOMIC_SPECIES
Tb 158.93 Tb.upf
Dy 162.50 Dy.upf
Sm 150.36 Sm.upf
CELL_PARAMETERS angstrom
-1.101 2.051 -2.613
6.539 -3.284 -5.331
-9.875 -7.801 0.379
ATOMIC_POSITIONS crystal
Tb 0.144 0.341 0.287
Tb 0.856 0.659 0.713
Tb 0.144 0.947 0.287
Tb 0.500 0.000 0.000
Tb 0.856 0.053 0.713
Dy 0.000 0.309 0.000
Dy 0.403 0.403 0.806
Dy 0.000 0.691 0.000
Dy 0.597 0.597 0.194
Sm 0.268 0.268 0.537
Sm 0.732 0.732 0.463
```

Summary:
For the density of states at the Fermi level, the calculation gives 1.4688 states/eV per atom. For the relative energy among the computed polymorphs, the calculation gives 16.1 kJ/mol of atoms. The value obtained for the formation energy is 2.3 eV per formula unit.

***

4.
A geometry-optimized Tb3Sm8Dy2 structure. Source: the Alexandria database, functional PBE. Values from VASP.

Geometry as Quantum ESPRESSO input:
```
&SYSTEM
  ibrav = 0, nat = 13, ntyp = 3
/
ATOMIC_SPECIES
Sm 150.36 Sm.upf
Tb 158.93 Tb.upf
Dy 162.50 Dy.upf
CELL_PARAMETERS angstrom
-3.384 2.974 3.497
-2.877 -6.566 2.800
8.676 3.153 5.715
ATOMIC_POSITIONS crystal
Sm 0.500 0.186 0.787
Sm 0.000 0.867 0.735
Sm 0.000 0.133 0.265
Sm 0.500 0.399 0.213
Sm 0.000 0.671 0.343
Sm 0.500 0.814 0.213
Sm 0.500 0.601 0.787
Sm 0.000 0.329 0.657
Tb 0.500 0.000 0.000
Tb 0.000 0.286 0.000
Tb 0.000 0.714 0.000
Dy 0.500 0.759 0.518
Dy 0.500 0.241 0.482
```

Summary:
For the density of states at the Fermi level, the calculation gives 1.5367 states/eV per atom. The value obtained for the formation energy is 2.8 eV per formula unit.

***

5.
A geometry-optimized TbSmDy4 structure. Source: the Alexandria database, functional PBE. Values from VASP.

Geometry as Quantum ESPRESSO input:
```
&SYSTEM
  ibrav = 0, nat = 6, ntyp = 3
/
ATOMIC_SPECIES
Dy 162.50 Dy.upf
Tb 158.93 Tb.upf
Sm 150.36 Sm.upf
CELL_PARAMETERS angstrom
-0.625 3.143 1.531
-7.481 -0.709 -5.673
5.713 -3.633 9.694
ATOMIC_POSITIONS crystal
Dy 0.666 0.332 0.999
Dy 0.833 0.665 0.500
Dy 0.167 0.334 0.500
Dy 0.334 0.669 0.001
Tb 0.000 0.000 0.000
Sm 0.500 0.000 0.500
```

Summary:
For the density of states at the Fermi level, the calculation gives 1.3683 states/eV per atom. For the relative energy among the computed polymorphs, the calculation gives 0.0 kJ/mol of atoms. The value obtained for the formation energy is 0.1 eV per formula unit.

***

6.
A geometry-optimized TbSm4Dy structure. Source: the Alexandria database, functional PBE. Values from VASP.

Geometry as Quantum ESPRESSO input:
```
&SYSTEM
  ibrav = 0, nat = 6, ntyp = 3
/
ATOMIC_SPECIES
Sm 150.36 Sm.upf
Tb 158.93 Tb.upf
Dy 162.50 Dy.upf
CELL_PARAMETERS angstrom
-4.082 -6.518 2.385
-0.912 -7.882 -1.373
3.627 -1.016 3.429
ATOMIC_POSITIONS crystal
Sm 0.166 0.166 0.500
Sm 0.834 0.834 0.500
Sm 0.666 0.666 0.000
Sm 0.334 0.334 0.000
Tb 0.500 0.500 0.500
Dy 0.000 0.000 0.000
```

Summary:
For the density of states at the Fermi level, the calculation gives 1.3284 states/eV per atom. For the relative energy among the computed polymorphs, the calculation gives 0.0 kJ/mol of atoms. The value obtained for the formation energy is 0.1 eV per formula unit.

***

7.
A geometry-optimized TbSmDy2 structure. Source: the Alexandria database, functional PBE. Values from VASP.

Geometry as Quantum ESPRESSO input:
```
&SYSTEM
  ibrav = 0, nat = 4, ntyp = 3
/
ATOMIC_SPECIES
Tb 158.93 Tb.upf
Sm 150.36 Sm.upf
Dy 162.50 Dy.upf
CELL_PARAMETERS angstrom
-2.425 1.482 -2.156
-3.478 -0.417 0.674
-1.864 9.990 6.010
ATOMIC_POSITIONS crystal
Tb 0.500 0.500 0.500
Sm 0.000 0.000 0.000
Dy 0.751 0.751 0.748
Dy 0.249 0.249 0.252
```

Summary:
For the density of states at the Fermi level, the calculation gives 1.3069 states/eV per atom. For the relative energy among the computed polymorphs, the calculation gives 0.3 kJ/mol of atoms. The value obtained for the formation energy is 0.1 eV per formula unit.

***

8.
A geometry-optimized Tb6SmDy structure. Source: the Alexandria database, functional PBE. Values from VASP.

Geometry as Quantum ESPRESSO input:
```
&SYSTEM
  ibrav = 0, nat = 8, ntyp = 3
/
ATOMIC_SPECIES
Tb 158.93 Tb.upf
Sm 150.36 Sm.upf
Dy 162.50 Dy.upf
CELL_PARAMETERS angstrom
-1.130 -4.077 -2.747
4.085 0.790 -2.853
5.469 -5.724 6.245
ATOMIC_POSITIONS crystal
Tb 0.500 0.000 0.251
Tb 0.000 0.500 0.749
Tb 0.500 0.500 0.500
Tb 0.000 0.500 0.251
Tb 0.500 0.500 0.000
Tb 0.500 0.000 0.749
Sm 0.000 0.000 0.000
Dy 0.000 0.000 0.500
```

Summary:
For the density of states at the Fermi level, the calculation gives 1.5821 states/eV per atom. For the relative energy among the computed polymorphs, the calculation gives 0.0 kJ/mol of atoms. The value obtained for the formation energy is 0.2 eV per formula unit.

***

9.
A geometry-optimized Tb5Sm2Dy12 structure. Source: the Alexandria database, functional PBE. Values from VASP.

Geometry as Quantum ESPRESSO input:
```
&SYSTEM
  ibrav = 0, nat = 19, ntyp = 3
/
ATOMIC_SPECIES
Sm 150.36 Sm.upf
Tb 158.93 Tb.upf
Dy 162.50 Dy.upf
CELL_PARAMETERS angstrom
9.233 0.000 0.000
-4.616 11.328 -1.762
0.000 -5.261 6.741
ATOMIC_POSITIONS crystal
Sm 0.679 0.000 0.000
Sm 0.321 0.000 0.000
Tb 0.300 0.601 0.614
Tb 0.000 0.000 0.500
Tb 0.700 0.399 0.386
Tb 0.769 0.538 0.112
Tb 0.231 0.462 0.888
Dy 0.564 0.746 0.405
Dy 0.558 0.117 0.784
Dy 0.666 0.692 0.934
Dy 0.974 0.308 0.066
Dy 0.436 0.254 0.595
Dy 0.334 0.308 0.066
Dy 0.912 0.823 0.704
Dy 0.442 0.883 0.216
Dy 0.026 0.692 0.934
Dy 0.182 0.746 0.405
Dy 0.818 0.254 0.595
Dy 0.088 0.177 0.296
```

Summary:
For the density of states at the Fermi level, the calculation gives 1.4595 states/eV per atom. For the relative energy among the computed polymorphs, the calculation gives 10.9 kJ/mol of atoms. The value obtained for the formation energy is 2.5 eV per formula unit.

***

10.
A geometry-optimized Tb5Sm8Dy structure. Source: the Alexandria database, functional PBE. Values from VASP.

Geometry as Quantum ESPRESSO input:
```
&SYSTEM
  ibrav = 0, nat = 14, ntyp = 3
/
ATOMIC_SPECIES
Sm 150.36 Sm.upf
Tb 158.93 Tb.upf
Dy 162.50 Dy.upf
CELL_PARAMETERS angstrom
8.525 -0.095 0.164
-2.974 7.990 -0.164
-2.576 -4.087 7.026
ATOMIC_POSITIONS crystal
Sm 0.568 0.909 0.833
Sm 0.729 0.256 0.334
Sm 0.924 0.091 0.660
Sm 0.078 0.744 0.473
Sm 0.527 0.605 0.271
Sm 0.167 0.735 0.076
Sm 0.666 0.395 0.922
Sm 0.340 0.265 0.432
Tb 0.500 0.000 0.500
Tb 0.818 0.684 0.718
Tb 0.282 0.099 0.966
Tb 0.867 0.901 0.182
Tb 0.034 0.316 0.133
Dy 0.250 0.500 0.750
```

Summary:
For the density of states at the Fermi level, the calculation gives 1.4715 states/eV per atom. The value obtained for the formation energy is 3.5 eV per formula unit.

***

Please write out number 7 again, unchanged.
A geometry-optimized TbSmDy2 structure. Source: the Alexandria database, functional PBE. Values from VASP.

Geometry as Quantum ESPRESSO input:
```
&SYSTEM
  ibrav = 0, nat = 4, ntyp = 3
/
ATOMIC_SPECIES
Tb 158.93 Tb.upf
Sm 150.36 Sm.upf
Dy 162.50 Dy.upf
CELL_PARAMETERS angstrom
-2.425 1.482 -2.156
-3.478 -0.417 0.674
-1.864 9.990 6.010
ATOMIC_POSITIONS crystal
Tb 0.500 0.500 0.500
Sm 0.000 0.000 0.000
Dy 0.751 0.751 0.748
Dy 0.249 0.249 0.252
```

Summary:
For the density of states at the Fermi level, the calculation gives 1.3069 states/eV per atom. For the relative energy among the computed polymorphs, the calculation gives 0.3 kJ/mol of atoms. The value obtained for the formation energy is 0.1 eV per formula unit.